## MgMnGaCo (PBE)

Data for MgMnGaCo after structural relaxation.

Properties
Total moment ... 4.05 μB per formula unit
Calculated formation energy ... -0.009 eV per atom
Space-group type ... F-43m (216)
Crystal system ... cubic

a = 4.2788 Å, b = 4.2788 Å, c = 4.2788 Å
α = 60.00°, β = 60.00°, γ = 60.00°
Closest atoms and distances in Å follow each position.
Element x y z (fractional)
1 Mg 0.0000 0.0000 0.0000  4 Co 2.62, 4 Ga 2.62
2 Mn 0.5000 0.5000 0.5000  4 Co 2.62, 4 Ga 2.62
3 Ga 0.2500 0.2500 0.2500  4 Mn 2.62, 4 Mg 2.62
4 Co 0.7500 0.7500 0.7500  4 Mn 2.62, 4 Mg 2.62